The following is a DFT calculation (PBE) of AlTcP2O after structural relaxation.

Geometry as POSCAR:
```
AlTcP2O
1.0
4.791 0.000 0.000
0.000 4.791 0.000
0.000 0.000 3.681
Al Tc P O
1 1 2 1
Direct
0.000 0.000 0.000
0.500 0.500 0.500
0.000 0.500 0.500
0.500 0.000 0.500
0.500 0.500 0.000
```

Its magnetization is 0.00 Bohr magnetons per cell. For the relative energy among the computed polymorphs, the calculation gives 0.00 eV/f.u. For the uncorrected energy, the calculation gives -6.042 eV/atom. The density of states at the Fermi level is 0.634 states/eV per atom.

The following is a DFT calculation (PBE) of TiAlP2O after structural relaxation.

Geometry as POSCAR:
```
TiAlP2O
1.0
4.885 0.000 0.000
0.000 4.885 0.000
0.000 0.000 3.672
Ti Al P O
1 1 2 1
Direct
0.000 0.000 0.000
0.500 0.500 0.500
0.000 0.500 0.000
0.500 0.000 0.000
0.000 0.000 0.500
```

Its magnetization is 0.00 Bohr magnetons per cell. For the relative energy among the computed polymorphs, the calculation gives 0.00 eV/f.u. For the uncorrected energy, the calculation gives -5.965 eV/atom. The density of states at the Fermi level is 0.871 states/eV per atom.

The following is a DFT calculation (PBE) of TiAlP2O after structural relaxation.

Geometry as POSCAR:
```
TiAlP2O
1.0
4.893 0.000 0.000
0.000 4.893 0.000
0.000 0.000 3.325
Ti Al P O
1 1 2 1
Direct
0.000 0.000 0.000
0.500 0.500 0.500
0.000 0.500 0.500
0.500 0.000 0.500
0.500 0.500 0.000
```

Its magnetization is 0.26 Bohr magnetons per cell. For the relative energy among the computed polymorphs, the calculation gives 0.56 eV/f.u. For the uncorrected energy, the calculation gives -5.854 eV/atom. The density of states at the Fermi level is 0.887 states/eV per atom.

The following is a DFT calculation (PBE) of TiAlPO2 after structural relaxation.

Geometry as POSCAR:
```
TiAlPO2
1.0
3.556 0.000 0.000
0.000 3.556 0.000
0.000 0.000 5.193
Ti Al P O
1 1 1 2
Direct
0.000 0.000 0.000
0.500 0.500 0.500
0.500 0.500 0.000
0.000 0.500 0.500
0.500 0.000 0.500
```

Its magnetization is 0.06 Bohr magnetons per cell. For the relative energy among the computed polymorphs, the calculation gives 0.61 eV/f.u. For the uncorrected energy, the calculation gives -6.689 eV/atom. The density of states at the Fermi level is 0.438 states/eV per atom.

The following is a DFT calculation (PBE) of TiAlPO2 after structural relaxation.

Geometry as POSCAR:
```
TiAlPO2
1.0
3.737 0.000 0.000
0.000 3.737 0.000
0.000 0.000 5.280
Ti Al P O
1 1 1 2
Direct
0.000 0.000 0.000
0.500 0.500 0.500
0.000 0.000 0.500
0.000 0.500 0.000
0.500 0.000 0.000
```

Its magnetization is 0.00 Bohr magnetons per cell. For the relative energy among the computed polymorphs, the calculation gives 0.00 eV/f.u. For the uncorrected energy, the calculation gives -6.810 eV/atom. The density of states at the Fermi level is 0.438 states/eV per atom.

The following is a DFT calculation (PBE) of AlTlP2O8 after structural relaxation.

Geometry as POSCAR:
```
AlTlP2O8
1.0
2.390 1.380 7.482
-2.390 1.380 7.482
0.000 -2.760 7.482
Al Tl P O
1 1 2 8
Direct
0.000 0.000 0.000
0.500 0.500 0.500
0.263 0.263 0.263
0.737 0.737 0.737
0.002 0.611 0.236
0.192 0.192 0.192
0.236 0.002 0.611
0.389 0.764 0.998
0.611 0.236 0.002
0.764 0.998 0.389
0.808 0.808 0.808
0.998 0.389 0.764
```

Its magnetization is 0.61 Bohr magnetons per cell. For the uncorrected energy, the calculation gives -6.655 eV/atom. The density of states at the Fermi level is 0.891 states/eV per atom.

The following is a DFT calculation (PBE) of AlTlPO2 after structural relaxation.

Geometry as POSCAR:
```
AlTlPO2
1.0
3.719 0.000 0.000
0.000 3.719 0.000
0.000 0.000 5.393
Al Tl P O
1 1 1 2
Direct
0.000 0.000 0.000
0.500 0.500 0.500
0.000 0.000 0.500
0.000 0.500 0.000
0.500 0.000 0.000
```

Its magnetization is 0.00 Bohr magnetons per cell. For the relative energy among the computed polymorphs, the calculation gives 0.00 eV/f.u. For the uncorrected energy, the calculation gives -5.137 eV/atom. The density of states at the Fermi level is 0.819 states/eV per atom.

The following is a DFT calculation (PBE) of Al2Tl3P3O12 after structural relaxation.

Geometry as POSCAR:
```
Al2Tl3P3O12
1.0
6.213 0.000 0.000
0.000 18.036 0.000
0.000 0.000 10.570
Al Tl P O
8 12 12 48
Direct
0.242 0.082 0.084
0.242 0.418 0.084
0.258 0.582 0.584
0.258 0.918 0.584
0.742 0.082 0.416
0.742 0.418 0.416
0.758 0.582 0.916
0.758 0.918 0.916
0.223 0.750 0.857
0.236 0.642 0.155
0.236 0.858 0.155
0.264 0.142 0.655
0.264 0.358 0.655
0.277 0.250 0.357
0.723 0.750 0.643
0.736 0.642 0.345
0.736 0.858 0.345
0.764 0.142 0.845
0.764 0.358 0.845
0.777 0.250 0.143
0.236 0.750 0.496
0.249 0.040 0.373
0.249 0.460 0.373
0.251 0.540 0.873
0.251 0.960 0.873
0.264 0.250 0.996
0.736 0.750 0.004
0.749 0.040 0.127
0.749 0.460 0.127
0.751 0.540 0.627
0.751 0.960 0.627
0.764 0.250 0.504
0.026 0.750 0.419
0.045 0.077 0.426
0.045 0.423 0.426
0.059 0.250 0.914
0.065 0.593 0.909
0.065 0.907 0.909
0.215 0.038 0.930
0.215 0.462 0.930
0.237 0.028 0.228
0.237 0.472 0.228
0.239 0.682 0.590
0.239 0.818 0.590
0.261 0.182 0.090
0.261 0.318 0.090
0.263 0.528 0.728
0.263 0.972 0.728
0.285 0.538 0.430
0.285 0.962 0.430
0.435 0.093 0.409
0.435 0.407 0.409
0.441 0.750 0.414
0.455 0.577 0.926
0.455 0.923 0.926
0.474 0.250 0.919
0.526 0.750 0.081
0.545 0.077 0.074
0.545 0.423 0.074
0.559 0.250 0.586
0.565 0.593 0.591
0.565 0.907 0.591
0.715 0.038 0.570
0.715 0.462 0.570
0.737 0.028 0.272
0.737 0.472 0.272
0.739 0.682 0.910
0.739 0.818 0.910
0.761 0.182 0.410
0.761 0.318 0.410
0.763 0.528 0.772
0.763 0.972 0.772
0.785 0.538 0.070
0.785 0.962 0.070
0.935 0.093 0.091
0.935 0.407 0.091
0.941 0.750 0.086
0.955 0.577 0.574
0.955 0.923 0.574
0.974 0.250 0.581
```

Its magnetization is 0.00 Bohr magnetons per cell. For the uncorrected energy, the calculation gives -6.724 eV/atom. The density of states at the Fermi level is 0.000 states/eV per atom.

The following is a DFT calculation (PBE) of AlTlP2O after structural relaxation.

Geometry as POSCAR:
```
AlTlP2O
1.0
5.184 0.000 0.000
0.000 5.184 0.000
0.000 0.000 4.092
Al Tl P O
1 1 2 1
Direct
0.000 0.000 0.000
0.500 0.500 0.500
0.000 0.500 0.500
0.500 0.000 0.500
0.500 0.500 0.000
```

Its magnetization is 0.00 Bohr magnetons per cell. For the relative energy among the computed polymorphs, the calculation gives 6.06 eV/f.u. For the uncorrected energy, the calculation gives -3.395 eV/atom. The density of states at the Fermi level is 0.980 states/eV per atom.

The following is a DFT calculation (PBE) of AlTlPO2 after structural relaxation.

Geometry as POSCAR:
```
AlTlPO2
1.0
4.083 0.000 0.000
0.000 4.083 0.000
0.000 0.000 5.495
Al Tl P O
1 1 1 2
Direct
0.000 0.000 0.000
0.500 0.500 0.500
0.500 0.500 0.000
0.000 0.500 0.500
0.500 0.000 0.500
```

Its magnetization is 0.00 Bohr magnetons per cell. For the relative energy among the computed polymorphs, the calculation gives 6.39 eV/f.u. For the uncorrected energy, the calculation gives -3.858 eV/atom. The density of states at the Fermi level is 0.743 states/eV per atom.

The following is a DFT calculation (PBE) of AlTlP2O after structural relaxation.

Geometry as POSCAR:
```
AlTlP2O
1.0
5.135 0.000 0.000
0.000 5.135 0.000
0.000 0.000 3.424
Al Tl P O
1 1 2 1
Direct
0.000 0.000 0.000
0.500 0.500 0.500
0.000 0.500 0.000
0.500 0.000 0.000
0.000 0.000 0.500
```

Its magnetization is 0.00 Bohr magnetons per cell. For the relative energy among the computed polymorphs, the calculation gives 0.00 eV/f.u. For the uncorrected energy, the calculation gives -4.606 eV/atom. The density of states at the Fermi level is 0.920 states/eV per atom.

Sequential formation energy without anion corrections output: -0.06; -0.48; -0.37; -1.30; -1.42; -1.94; -0.85; -2.21; 0.98; 0.43; -0.23 eV/atom